16
Lattice="7.0966 0.0000 0.0000 0.0000 7.0966 0.0000 0.0000 0.0000 7.0966" Properties=species:S:1:pos:R:3 comment="CaHoCuAu | the Alexandria database | PBE-GGA | optimized geometry" sg="F-43m, No. 216" total_energy_ev_per_fu=-15.864 e_form_ev_per_atom=-0.478 polymorph_energy_mev_per_atom=28 pbc="T T T"
Ca 0.0000 0.0000 0.0000
Ca 0.0000 3.5483 3.5483
Ca 3.5483 0.0000 3.5483
Ca 3.5483 3.5483 0.0000
Ho 0.0000 0.0000 3.5483
Ho 0.0000 3.5483 0.0000
Ho 3.5483 0.0000 0.0000
Ho 3.5483 3.5483 3.5483
Cu 1.7741 1.7741 5.3224
Cu 1.7741 5.3224 1.7741
Cu 5.3224 1.7741 1.7741
Cu 5.3224 5.3224 5.3224
Au 1.7741 1.7741 1.7741
Au 1.7741 5.3224 5.3224
Au 5.3224 1.7741 5.3224
Au 5.3224 5.3224 1.7741

8
Lattice="6.8014 0.0000 0.0000 0.0000 5.5742 0.0000 -3.3529 0.0000 6.2761" Properties=species:S:1:pos:R:3 comment="In4SnBiPb2 | the Alexandria database | PBE-GGA | optimized geometry" sg="P2/m, No. 10" total_energy_ev_per_fu=-25.709 e_form_ev_per_atom=0.068 pbc="T T T"
In -0.0254 0.0000 3.1341
In -1.6399 2.7871 6.1910
In 5.0885 2.7871 0.0851
In 3.4739 0.0000 3.1421
Sn -1.6765 2.7871 3.1381
Bi 0.0000 0.0000 0.0000
Pb 3.4007 0.0000 0.0000
Pb 1.7243 2.7871 3.1381

8
Lattice="3.9141 0.0000 0.0000 0.0000 9.3486 0.0000 0.0000 0.0000 5.4677" Properties=species:S:1:pos:R:3 comment="Lu3Mo | the Alexandria database | PBE-GGA | optimized geometry" sg="Imm2, No. 44" total_energy_ev_per_fu=-23.464 e_form_ev_per_atom=0.233 polymorph_energy_mev_per_atom=0 pbc="T T T"
Lu 0.0000 0.0000 0.0000
Lu 0.0000 2.0013 2.8065
Lu 0.0000 7.3473 2.8065
Lu 1.9571 2.6730 0.0726
Lu 1.9571 4.6743 2.7338
Lu 1.9571 6.6756 0.0726
Mo 0.0000 4.6743 4.8891
Mo 1.9571 0.0000 2.1553

16
Lattice="6.9975 0.0000 0.0000 0.0000 6.9975 0.0000 0.0000 0.0000 6.9975" Properties=species:S:1:pos:R:3 comment="HoTlCdRh | the Alexandria database | PBE-GGA | optimized geometry" sg="F-43m, No. 216" total_energy_ev_per_fu=-16.190 e_form_ev_per_atom=-0.245 pbc="T T T"
Ho 0.0000 0.0000 0.0000
Ho 0.0000 3.4988 3.4988
Ho 3.4988 0.0000 3.4988
Ho 3.4988 3.4988 0.0000
Tl 1.7494 1.7494 5.2481
Tl 1.7494 5.2481 1.7494
Tl 5.2481 1.7494 1.7494
Tl 5.2481 5.2481 5.2481
Cd 0.0000 0.0000 3.4988
Cd 0.0000 3.4988 0.0000
Cd 3.4988 0.0000 0.0000
Cd 3.4988 3.4988 3.4988
Rh 1.7494 1.7494 1.7494
Rh 1.7494 5.2481 5.2481
Rh 5.2481 1.7494 5.2481
Rh 5.2481 5.2481 1.7494

5
Lattice="5.1182 0.0000 0.0000 0.0000 5.1182 0.0000 0.0000 0.0000 5.1182" Properties=species:S:1:pos:R:3 comment="CaRhBr3 | the Alexandria database | PBE-GGA | optimized geometry" sg="Pm-3m, No. 221" total_energy_ev_per_fu=-17.954 formation_energy_uncorrected_mev_per_atom=-716 pbc="T T T"
Ca 0.0000 0.0000 0.0000
Rh 2.5591 2.5591 2.5591
Br 0.0000 2.5591 2.5591
Br 2.5591 0.0000 2.5591
Br 2.5591 2.5591 0.0000

3
Lattice="5.1006 0.0000 0.0000 -2.5503 4.4173 0.0000 0.0000 0.0000 4.3318" Properties=species:S:1:pos:R:3 comment="EuErSb | the Alexandria database | PBE-GGA | optimized geometry" sg="P3m1, No. 156" total_energy_ev_per_fu=-20.503 formation_energy_uncorrected_mev_per_atom=-514 pbc="T T T"
Eu 0.0000 0.0000 0.0000
Er 2.5503 1.4724 2.2292
Sb 0.0000 2.9448 1.8768